This record from Alexandria via LeMat-Bulk describes a relaxed structure of Sr2TaHgIr. The functional is PBE-GGA.

Calculated values
Symmetry = P4/mmm
Energy of formation from the pure elements = 6.54 eV/f.u.

Cell: 5.8779 4.9981 5.8779 Å, 90.00 90.00 90.00°
With the nearest neighbours (Å) after each atom.
Fractional positions:
Sr: 0.0000 0.0000 0.5000  2 Hg 2.94
Sr: 0.5000 0.0000 0.0000  2 Hg 2.94
Hg: 0.0000 0.0000 0.0000  2 Ir 2.50
Ir: 0.0000 0.5000 0.0000  2 Hg 2.50
Ta: 0.5000 0.5000 0.5000  8 Sr 3.86, 4 Ir 4.16


This record from Alexandria via LeMat-Bulk describes a relaxed structure of Sr2TlHgIr. The functional is PBE-GGA.

Calculated values
Symmetry = P4/mmm
Energy of formation from the pure elements = -1.10 eV/f.u.

Cell: 5.8077 5.8077 5.2465 Å, 90.00 90.00 90.00°
With the nearest neighbours (Å) after each atom.
Fractional positions:
Tl: 0.0000 0.0000 0.5000  2 Ir 2.62
Ir: 0.0000 0.0000 0.0000  2 Tl 2.62, 4 Sr 2.90
Sr: 0.0000 0.5000 0.0000  2 Ir 2.90
Sr: 0.5000 0.0000 0.0000  2 Ir 2.90
Hg: 0.5000 0.5000 0.5000  8 Sr 3.91, 4 Tl 4.11


This record from Alexandria via LeMat-Bulk describes a relaxed structure of TaHg2Ir. The functional is PBE-GGA.

Calculated values
Symmetry = Imm2
Energy of formation from the pure elements = 1.30 eV/f.u.
E above lowest polymorph = 1.11 eV per formula unit

Cell: 6.1557 6.1557 6.1557 Å, 151.27 133.87 55.26°
With the nearest neighbours (Å) after each atom.
Fractional positions:
Ta: 0.2866 0.7866 0.5000  2 Ir 2.50
Hg: 0.7219 0.2219 0.5000  4 Ta 2.94, 4 Hg 3.05-3.24, 2 Ir 3.16
Hg: 0.0234 0.0234 0.0000  4 Ir 2.92, 4 Hg 3.05-3.24, 2 Ta 3.25
Ir: 0.4681 0.4681 0.0000  2 Ta 2.50


This record from Alexandria via LeMat-Bulk describes a relaxed structure of TaHgIr2. The functional is PBE-GGA.

Calculated values
Symmetry = Pmm2
Energy of formation from the pure elements = 0.24 eV/f.u.

Cell: 2.8829 4.1559 5.6000 Å, 90.00 90.00 90.00°
With the nearest neighbours (Å) after each atom.
Fractional positions:
Ir: 0.0000 0.0000 0.0026  1 Ta 2.61, 4 Hg 2.86, 2 Ir 2.88
Ir: 0.5000 0.5000 0.2659  4 Ta 2.77, 2 Hg 2.79-2.81, 6 Ir 2.88-2.93
Ta: 0.0000 0.0000 0.4680  5 Ir 2.61-2.77, 2 Ta 2.88
Hg: 0.5000 0.5000 0.7635  6 Ir 2.79-2.86, 2 Hg 2.88, 4 Ta 3.02


This record from Alexandria via LeMat-Bulk describes a relaxed structure of Ta2HgIr2. The functional is PBE-GGA.

Calculated values
Symmetry = P4/mbm
Energy of formation from the pure elements = -0.98 eV/f.u.
E above lowest polymorph = 0.66 eV per formula unit

Cell: 7.8939 7.8939 2.9031 Å, 90.00 90.00 90.00°
With the nearest neighbours (Å) after each atom.
Fractional positions:
Ta: 0.8459 0.6541 0.0000  6 Ir 2.71-2.76, 2 Ta 2.90, 2 Hg 2.99
Ta: 0.3459 0.8459 0.0000  6 Ir 2.71-2.76, 2 Ta 2.90, 2 Hg 2.99
Ta: 0.6541 0.1541 0.0000  6 Ir 2.71-2.76, 2 Ta 2.90, 2 Hg 2.99
Ta: 0.1541 0.3459 0.0000  6 Ir 2.71-2.76, 2 Ta 2.90, 2 Hg 2.99
Ir: 0.8648 0.3648 0.5000  6 Ta 2.71-2.76, 3 Ir 2.90-3.02
Ir: 0.6352 0.8648 0.5000  6 Ta 2.71-2.76, 3 Ir 2.90-3.02
Ir: 0.1352 0.6352 0.5000  6 Ta 2.71-2.76, 3 Ir 2.90-3.02
Ir: 0.3648 0.1352 0.5000  6 Ta 2.71-2.76, 3 Ir 2.90-3.02
Hg: 0.0000 0.0000 0.0000  2 Hg 2.90, 4 Ta 2.99
Hg: 0.5000 0.5000 0.0000  2 Hg 2.90, 4 Ta 2.99


This record from Alexandria via LeMat-Bulk describes a relaxed structure of Ta2HgIr2. The functional is PBE-GGA.

Calculated values
Symmetry = I4/mmm
Energy of formation from the pure elements = -0.90 eV/f.u.
E above lowest polymorph = 0.73 eV per formula unit

Cell: 4.3981 4.3981 6.0500 Å, 68.69 68.69 90.00°
With the nearest neighbours (Å) after each atom.
Fractional positions:
Ta: 0.2500 0.7500 0.5000  4 Ir 2.56
Ta: 0.7500 0.2500 0.5000  4 Ir 2.56
Ir: 0.3768 0.3768 0.2463  1 Ir 2.56, 4 Ta 2.56
Ir: 0.6232 0.6232 0.7537  1 Ir 2.56, 4 Ta 2.56
Hg: 0.0000 0.0000 0.0000  8 Ir 3.36, 8 Ta 3.40


This record from Alexandria via LeMat-Bulk describes a relaxed structure of Ta2HgIr. The functional is PBE-GGA.

Calculated values
Symmetry = P4/mmm
Energy of formation from the pure elements = 0.17 eV/f.u.

Cell: 4.0747 4.0672 4.1945 Å, 90.00 90.00 90.00°
With the nearest neighbours (Å) after each atom.
Fractional positions:
Hg: 0.5000 0.0000 0.5000  4 Ir 2.88, 8 Ta 2.92
Ir: 0.0000 0.5000 0.5000  4 Hg 2.88, 8 Ta 2.92
Ta: 0.0000 0.0000 0.0000  4 Ta 2.88, 4 Ir 2.92, 4 Hg 2.92
Ta: 0.5000 0.5000 0.0000  4 Ta 2.88, 4 Hg 2.92, 4 Ir 2.92


This record from Alexandria via LeMat-Bulk describes a relaxed structure of TaHg2Ir. The functional is PBE-GGA.

Calculated values
Symmetry = F-43m
Energy of formation from the pure elements = 1.52 eV/f.u.
E above lowest polymorph = 1.33 eV per formula unit

Cell: 4.7050 4.7050 4.7050 Å, 60.00 60.00 60.00°
With the nearest neighbours (Å) after each atom.
Fractional positions:
Ta: 0.7500 0.7500 0.7500  4 Ir 2.88, 4 Hg 2.88
Hg: 0.2500 0.2500 0.2500  4 Hg 2.88, 4 Ir 2.88
Hg: 0.0000 0.0000 0.0000  4 Ta 2.88, 4 Hg 2.88
Ir: 0.5000 0.5000 0.5000  4 Hg 2.88, 4 Ta 2.88


This record from Alexandria via LeMat-Bulk describes a relaxed structure of TaHgIr2. The functional is PBE-GGA.

Calculated values
Symmetry = I-42d
Energy of formation from the pure elements = 1.29 eV/f.u.

Cell: 7.2975 7.2975 5.8924 Å, 51.74 51.74 90.00°
With the nearest neighbours (Å) after each atom.
Fractional positions:
Ir: 0.3750 0.4109 0.7500  2 Ta 2.50
Ir: 0.1609 0.6250 0.2500  2 Ta 2.50
Ir: 0.8750 0.8391 0.7500  2 Ta 2.50
Ir: 0.5891 0.1250 0.2500  2 Ta 2.50
Hg: 0.7500 0.2500 0.5000  2 Ta 2.84, 4 Ir 2.86
Hg: 0.0000 0.0000 0.0000  2 Ta 2.84, 4 Ir 2.86
Ta: 0.5000 0.5000 0.0000  4 Ir 2.50
Ta: 0.2500 0.7500 0.5000  4 Ir 2.50


This record from Alexandria via LeMat-Bulk describes a relaxed structure of TaHg2Ir. The functional is PBE-GGA.

Calculated values
Symmetry = R-3m
Energy of formation from the pure elements = 1.90 eV/f.u.
E above lowest polymorph = 1.71 eV per formula unit

Cell: 9.6043 9.6043 9.6043 Å, 18.00 18.00 18.00°
With the nearest neighbours (Å) after each atom.
Fractional positions:
Ir: 0.2500 0.2500 0.2500  6 Hg 2.86, 6 Ir 3.00
Ta: 0.7500 0.7500 0.7500  6 Hg 3.00, 6 Ta 3.00
Hg: 0.9969 0.9969 0.9969  3 Ir 2.86, 3 Ta 3.00, 6 Hg 3.00
Hg: 0.5031 0.5031 0.5031  3 Ir 2.86, 3 Ta 3.00, 6 Hg 3.00


This record from Alexandria via LeMat-Bulk describes a relaxed structure of TaHg2Ir. The functional is PBE-GGA.

Calculated values
Symmetry = I4/mmm
Energy of formation from the pure elements = 1.89 eV/f.u.
E above lowest polymorph = 1.70 eV per formula unit

Cell: 5.3043 5.3043 5.3043 Å, 134.85 134.85 65.76°
With the nearest neighbours (Å) after each atom.
Fractional positions:
Hg: 0.0000 0.0000 0.0000  4 Hg 2.88, 4 Ir 3.02, 4 Ta 3.02
Hg: 0.5000 0.5000 0.0000  4 Hg 2.88, 4 Ir 3.02, 4 Ta 3.02
Ta: 0.7500 0.2500 0.5000  4 Ir 2.88, 8 Hg 3.02
Ir: 0.2500 0.7500 0.5000  4 Ta 2.88, 8 Hg 3.02


This record from Alexandria via LeMat-Bulk describes a relaxed structure of TaHgIr3. The functional is PBE-GGA.

Calculated values
Symmetry = Pm-3m
Energy of formation from the pure elements = 6.97 eV/f.u.
E above lowest polymorph = 0.00 eV per formula unit

Cell: 4.8012 4.8012 4.8012 Å, 90.00 90.00 90.00°
With the nearest neighbours (Å) after each atom.
Fractional positions:
Hg: 0.5000 0.5000 0.5000  12 Ir 3.39
Ir: 0.0000 0.0000 0.5000  2 Ta 2.40
Ir: 0.0000 0.5000 0.0000  2 Ta 2.40
Ir: 0.5000 0.0000 0.0000  2 Ta 2.40
Ta: 0.0000 0.0000 0.0000  6 Ir 2.40


This record from Alexandria via LeMat-Bulk describes a relaxed structure of TaHg2Ir. The functional is PBE-GGA.

Calculated values
Symmetry = Pmmm
Energy of formation from the pure elements = 1.91 eV/f.u.
E above lowest polymorph = 1.72 eV per formula unit

Cell: 2.9862 4.3825 5.6234 Å, 90.00 90.00 90.00°
With the nearest neighbours (Å) after each atom.
Fractional positions:
Hg: 0.0000 0.0000 0.4973  4 Hg 2.78-2.99, 4 Ir 2.99, 4 Ta 3.01
Hg: 0.0000 0.0000 0.0027  4 Hg 2.78-2.99, 4 Ir 2.99, 4 Ta 3.01
Ta: 0.5000 0.5000 0.7500  2 Ir 2.81, 2 Ta 2.99, 8 Hg 3.01
Ir: 0.5000 0.5000 0.2500  2 Ta 2.81, 2 Ir 2.99, 8 Hg 2.99


This record from Alexandria via LeMat-Bulk describes a relaxed structure of TaHg2Ir. The functional is PBE-GGA.

Calculated values
Symmetry = Cm
Energy of formation from the pure elements = 0.59 eV/f.u.
E above lowest polymorph = 0.40 eV per formula unit

Cell: 3.4095 3.4095 9.4218 Å, 70.33 70.33 58.51°
With the nearest neighbours (Å) after each atom.
Fractional positions:
Ta: 0.2636 0.2636 0.2888  3 Ir 2.48
Ir: 0.4838 0.4838 0.4646  3 Ta 2.48
Hg: 0.6544 0.6544 0.7289  3 Ir 3.01-3.03, 4 Hg 3.10-3.33
Hg: 0.0982 0.0982 0.0177  3 Ta 3.06-3.07, 9 Hg 3.10-3.41


This record from Alexandria via LeMat-Bulk describes a relaxed structure of TaHgIr2. The functional is PBE-GGA.

Calculated values
Symmetry = I-4m2
Energy of formation from the pure elements = 0.02 eV/f.u.

Cell: 5.1195 5.1195 5.1195 Å, 134.96 134.96 65.59°
With the nearest neighbours (Å) after each atom.
Fractional positions:
Ir: 0.0000 0.0000 0.0000  4 Ta 2.77, 4 Hg 2.91, 4 Ir 2.91
Ir: 0.2500 0.7500 0.5000  4 Hg 2.77, 4 Ir 2.91, 4 Ta 2.91
Hg: 0.7500 0.2500 0.5000  8 Ir 2.77-2.91, 4 Ta 2.91
Ta: 0.5000 0.5000 0.0000  8 Ir 2.77-2.91, 4 Hg 2.91


This record from Alexandria via LeMat-Bulk describes a relaxed structure of TaHg2Ir. The functional is PBE-GGA.

Calculated values
Symmetry = P4mm
Energy of formation from the pure elements = 0.19 eV/f.u.
E above lowest polymorph = 0.00 eV per formula unit

Cell: 3.0797 3.0797 8.2286 Å, 90.00 90.00 90.00°
With the nearest neighbours (Å) after each atom.
Fractional positions:
Hg: 0.0000 0.0000 0.9779  4 Ta 3.07, 8 Hg 3.08-3.26
Hg: 0.5000 0.5000 0.2729  4 Ir 3.06, 8 Hg 3.08-3.26
Ta: 0.5000 0.5000 0.7148  4 Ir 2.64
Ir: 0.0000 0.0000 0.5344  4 Ta 2.64


This record from Alexandria via LeMat-Bulk describes a relaxed structure of TaHgIr2. The functional is PBE-GGA.

Calculated values
Symmetry = Cm
Energy of formation from the pure elements = 0.21 eV/f.u.

Cell: 5.1044 5.1044 4.8766 Å, 78.62 78.62 32.82°
With the nearest neighbours (Å) after each atom.
Fractional positions:
Ir: 0.2623 0.2623 0.2742  4 Ir 2.74-2.88, 3 Ta 2.79-2.82, 4 Hg 2.82-2.87
Ir: 0.9842 0.9842 0.9885  4 Ir 2.74-2.88, 4 Ta 2.78-2.92, 3 Hg 2.79-2.89
Ta: 0.5134 0.5134 0.4598  7 Ir 2.78-2.92, 2 Ta 2.88, 1 Hg 2.96
Hg: 0.7401 0.7401 0.7775  7 Ir 2.79-2.89, 2 Hg 2.88, 1 Ta 2.96


This record from Alexandria via LeMat-Bulk describes a relaxed structure of TaHg2Ir. The functional is PBE-GGA.

Calculated values
Symmetry = I-4m2
Energy of formation from the pure elements = 1.40 eV/f.u.
E above lowest polymorph = 1.21 eV per formula unit

Cell: 4.9207 4.9207 4.9207 Å, 127.29 127.29 77.78°
With the nearest neighbours (Å) after each atom.
Fractional positions:
Ir: 0.5000 0.5000 0.0000  8 Hg 2.91-3.09, 4 Ta 2.91
Hg: 0.2500 0.7500 0.5000  4 Hg 2.91, 4 Ir 2.91, 4 Ta 3.09
Hg: 0.0000 0.0000 0.0000  4 Ta 2.91, 4 Hg 2.91, 4 Ir 3.09
Ta: 0.7500 0.2500 0.5000  8 Hg 2.91-3.09, 4 Ir 2.91


This record from Alexandria via LeMat-Bulk describes a relaxed structure of TaHg2Ir. The functional is PBE-GGA.

Calculated values
Symmetry = P4/mmm
Energy of formation from the pure elements = 1.81 eV/f.u.
E above lowest polymorph = 1.62 eV per formula unit

Cell: 4.6964 3.9868 3.9868 Å, 90.00 90.00 90.00°
With the nearest neighbours (Å) after each atom.
Fractional positions:
Ta: 0.5000 0.0000 0.5000  4 Ir 2.82, 8 Hg 3.08
Hg: 0.0000 0.5000 0.5000  4 Hg 2.82, 4 Ta 3.08, 4 Ir 3.08
Hg: 0.0000 0.0000 0.0000  4 Hg 2.82, 4 Ta 3.08, 4 Ir 3.08
Ir: 0.5000 0.5000 0.0000  4 Ta 2.82, 8 Hg 3.08


This record from Alexandria via LeMat-Bulk describes a relaxed structure of TaHg2Ir. The functional is PBE-GGA.

Calculated values
Symmetry = P4/mmm
Energy of formation from the pure elements = 2.09 eV/f.u.
E above lowest polymorph = 1.90 eV per formula unit

Cell: 2.9909 2.9909 8.1613 Å, 90.00 90.00 90.00°
With the nearest neighbours (Å) after each atom.
Fractional positions:
Hg: 0.0000 0.0000 0.0120  4 Ir 2.87, 4 Hg 2.99, 4 Ta 3.01
Hg: 0.0000 0.0000 0.4880  4 Ir 2.87, 4 Hg 2.99, 4 Ta 3.01
Ta: 0.5000 0.5000 0.7500  4 Ta 2.99, 8 Hg 3.01
Ir: 0.5000 0.5000 0.2500  8 Hg 2.87, 4 Ir 2.99


Number 1: final energy -17.84 eV for the cell shown. Number 2: final energy -15.99 eV for the cell shown. Number 3: final energy -20.02 eV for the cell shown. Number 4: final energy -29.63 eV for the cell shown. Number 5: final energy -85.41 eV for the cell shown. Number 6: final energy -42.63 eV for the cell shown. Number 7: final energy -32.69 eV for the cell shown. Number 8: final energy -19.80 eV for the cell shown. Number 9: final energy -57.18 eV for the cell shown. Number 10: final energy -19.42 eV for the cell shown. Number 11: final energy -19.43 eV for the cell shown. Number 12: final energy -31.77 eV for the cell shown. Number 13: final energy -19.41 eV for the cell shown. Number 14: final energy -20.73 eV for the cell shown. Number 15: final energy -29.86 eV for the cell shown. Number 16: final energy -21.13 eV for the cell shown. Number 17: final energy -29.66 eV for the cell shown. Number 18: final energy -19.92 eV for the cell shown. Number 19: final energy -19.51 eV for the cell shown. Number 20: final energy -19.23 eV for the cell shown.